1.
The following is a PBE calculation of a relaxed structure of CaTcRh, from the Alexandria database. Values from VASP.

For the total energy, the calculation gives -6.511 eV per atom. The calculation puts the density at 6.5 g/cm³. The calculation puts the formation energy at 0.0623 eV per atom.

Cell and atoms, written as Quantum ESPRESSO input:
```
&SYSTEM
  ibrav = 0, nat = 6, ntyp = 3
/
ATOMIC_SPECIES
Ca 40.08 Ca.upf
Tc 98.00 Tc.upf
Rh 102.91 Rh.upf
CELL_PARAMETERS angstrom
5.813 -1.804 0.000
5.813 1.804 0.000
-0.382 0.000 5.841
ATOMIC_POSITIONS angstrom
Ca 0.000 0.000 0.000
Ca 6.993 0.000 2.953
Tc 3.520 0.000 1.461
Tc 10.085 0.000 2.839
Rh 3.350 0.000 4.426
Rh 8.231 0.000 0.046
```

2.
The following is a PBE calculation of a relaxed structure of Ag2TeAu, from the Alexandria database. Values from VASP.

For the total energy, the calculation gives -2.986 eV per atom. The calculation puts the density at 11.0 g/cm³. The value obtained for the formation energy (no corrections) is 0.179 eV per formula unit.

Cell and atoms, written as Quantum ESPRESSO input:
```
&SYSTEM
  ibrav = 0, nat = 4, ntyp = 3
/
ATOMIC_SPECIES
Ag 107.87 Ag.upf
Te 127.60 Te.upf
Au 196.97 Au.upf
CELL_PARAMETERS angstrom
4.319 0.000 0.000
0.000 4.319 0.000
0.000 0.000 4.357
ATOMIC_POSITIONS angstrom
Ag 0.000 2.160 0.000
Ag 2.160 0.000 0.000
Te 0.000 0.000 2.179
Au 2.160 2.160 2.179
```

3.
The following is a PBE calculation of a relaxed structure of IrC2, from the Alexandria database. Values from VASP.

For the total energy, the calculation gives -7.055 eV per atom. The calculation puts the density at 12.4 g/cm³. The calculation puts the formation energy at 2.0477 eV per atom.

Cell and atoms, written as Quantum ESPRESSO input:
```
&SYSTEM
  ibrav = 0, nat = 6, ntyp = 2
/
ATOMIC_SPECIES
Ir 192.22 Ir.upf
C 12.01 C.upf
CELL_PARAMETERS angstrom
1.318 -8.186 0.000
1.318 8.186 0.000
0.000 0.000 2.690
ATOMIC_POSITIONS angstrom
Ir 1.318 6.017 0.000
Ir 1.318 -6.017 0.000
C 0.000 0.000 1.345
C 1.318 3.153 1.345
C 1.318 0.000 0.000
C 1.318 -3.153 1.345
```